No. 1
# Tb6PrZn PBE-GGA relaxed
# formation enthalpy at 0 K: 0.041 eV/atom
# V: 30.89 Å³/atom
# VASP energy: -4.19 eV per atom
data_Tb6PrZn
_cell_length_a 6.3112
_cell_length_b 6.3112
_cell_length_c 6.3112
_cell_angle_alpha 95.83
_cell_angle_beta 95.83
_cell_angle_gamma 95.83
_space_group_name_H-M_alt 'P 1'
_space_group_IT_number 1
loop_
_space_group_symop_operation_xyz
'x,y,z'
loop_
_atom_site_label
_atom_site_type_symbol
_atom_site_fract_x
_atom_site_fract_y
_atom_site_fract_z
Tb1 Tb 0.0451 0.5775 0.7651
Tb2 Tb 0.2349 0.9549 0.4225
Tb3 Tb 0.4225 0.2349 0.9549
Tb4 Tb 0.5775 0.7651 0.0451
Tb5 Tb 0.7651 0.0451 0.5775
Tb6 Tb 0.9549 0.4225 0.2349
Pr1 Pr 0.5000 0.5000 0.5000
Zn1 Zn 0.0000 0.0000 0.0000

No. 2
# Tb2PrZn PBE-GGA relaxed
# formation enthalpy at 0 K: 0.098 eV/atom
# V: 27.98 Å³/atom
# polymorph energy (0 for the lowest one): 0.2592 eV/atom
# VASP energy: -3.73 eV per atom
data_Tb2PrZn
_cell_length_a 5.4091
_cell_length_b 5.4091
_cell_length_c 5.4091
_cell_angle_alpha 60.00
_cell_angle_beta 60.00
_cell_angle_gamma 60.00
_space_group_name_H-M_alt 'P 1'
_space_group_IT_number 1
loop_
_space_group_symop_operation_xyz
'x,y,z'
loop_
_atom_site_label
_atom_site_type_symbol
_atom_site_fract_x
_atom_site_fract_y
_atom_site_fract_z
Tb1 Tb 0.2500 0.2500 0.2500
Tb2 Tb 0.7500 0.7500 0.7500
Pr1 Pr 0.0000 0.0000 0.0000
Zn1 Zn 0.5000 0.5000 0.5000

No. 3
# Tb5Pr12Zn3 PBE-GGA relaxed
# formation enthalpy at 0 K: 0.757 eV/atom
# V: 38.18 Å³/atom
# VASP energy: -3.46 eV per atom
data_Tb5Pr12Zn3
_cell_length_a 15.8319
_cell_length_b 15.8319
_cell_length_c 15.8319
_cell_angle_alpha 109.47
_cell_angle_beta 109.47
_cell_angle_gamma 109.47
_space_group_name_H-M_alt 'P 1'
_space_group_IT_number 1
loop_
_space_group_symop_operation_xyz
'x,y,z'
loop_
_atom_site_label
_atom_site_type_symbol
_atom_site_fract_x
_atom_site_fract_y
_atom_site_fract_z
Tb1 Tb 0.0000 0.0000 0.0000
Tb2 Tb 0.0000 0.0000 0.5000
Tb3 Tb 0.0000 0.5000 0.0000
Tb4 Tb 0.0000 0.5000 0.5000
Tb5 Tb 0.1250 0.7500 0.8750
Tb6 Tb 0.1250 0.8750 0.2500
Tb7 Tb 0.2500 0.1250 0.8750
Tb8 Tb 0.2500 0.6250 0.3750
Tb9 Tb 0.3750 0.2500 0.6250
Tb10 Tb 0.3750 0.6250 0.7500
Tb11 Tb 0.5000 0.0000 0.0000
Tb12 Tb 0.5000 0.0000 0.5000
Tb13 Tb 0.5000 0.5000 0.0000
Tb14 Tb 0.5000 0.5000 0.5000
Tb15 Tb 0.6250 0.3750 0.2500
Tb16 Tb 0.6250 0.7500 0.3750
Tb17 Tb 0.7500 0.3750 0.6250
Tb18 Tb 0.7500 0.8750 0.1250
Tb19 Tb 0.8750 0.1250 0.7500
Tb20 Tb 0.8750 0.2500 0.1250
Pr1 Pr 0.0668 0.6426 0.4064
Pr2 Pr 0.0668 0.9242 0.6604
Pr3 Pr 0.0758 0.2362 0.1426
Pr4 Pr 0.0758 0.3396 0.9332
Pr5 Pr 0.0936 0.7362 0.6604
Pr6 Pr 0.0936 0.8574 0.4332
Pr7 Pr 0.1426 0.0758 0.2362
Pr8 Pr 0.1426 0.5668 0.9064
Pr9 Pr 0.1604 0.2362 0.5936
Pr10 Pr 0.1604 0.4242 0.5668
Pr11 Pr 0.2362 0.1426 0.0758
Pr12 Pr 0.2362 0.5936 0.1604
Pr13 Pr 0.2638 0.3396 0.9064
Pr14 Pr 0.2638 0.4242 0.3574
Pr15 Pr 0.3396 0.9064 0.2638
Pr16 Pr 0.3396 0.9332 0.0758
Pr17 Pr 0.3574 0.2638 0.4242
Pr18 Pr 0.3574 0.5936 0.9332
Pr19 Pr 0.4064 0.0668 0.6426
Pr20 Pr 0.4064 0.8396 0.7638
Pr21 Pr 0.4242 0.3574 0.2638
Pr22 Pr 0.4242 0.5668 0.1604
Pr23 Pr 0.4332 0.0936 0.8574
Pr24 Pr 0.4332 0.8396 0.5758
Pr25 Pr 0.5668 0.1604 0.4242
Pr26 Pr 0.5668 0.9064 0.1426
Pr27 Pr 0.5758 0.4332 0.8396
Pr28 Pr 0.5758 0.6426 0.7362
Pr29 Pr 0.5936 0.1604 0.2362
Pr30 Pr 0.5936 0.9332 0.3574
Pr31 Pr 0.6426 0.4064 0.0668
Pr32 Pr 0.6426 0.7362 0.5758
Pr33 Pr 0.6604 0.0668 0.9242
Pr34 Pr 0.6604 0.0936 0.7362
Pr35 Pr 0.7362 0.5758 0.6426
Pr36 Pr 0.7362 0.6604 0.0936
Pr37 Pr 0.7638 0.4064 0.8396
Pr38 Pr 0.7638 0.8574 0.9242
Pr39 Pr 0.8396 0.5758 0.4332
Pr40 Pr 0.8396 0.7638 0.4064
Pr41 Pr 0.8574 0.4332 0.0936
Pr42 Pr 0.8574 0.9242 0.7638
Pr43 Pr 0.9064 0.1426 0.5668
Pr44 Pr 0.9064 0.2638 0.3396
Pr45 Pr 0.9242 0.6604 0.0668
Pr46 Pr 0.9242 0.7638 0.8574
Pr47 Pr 0.9332 0.0758 0.3396
Pr48 Pr 0.9332 0.3574 0.5936
Zn1 Zn 0.1250 0.2500 0.3750
Zn2 Zn 0.1250 0.3750 0.7500
Zn3 Zn 0.2500 0.3750 0.1250
Zn4 Zn 0.2500 0.8750 0.6250
Zn5 Zn 0.3750 0.1250 0.2500
Zn6 Zn 0.3750 0.7500 0.1250
Zn7 Zn 0.6250 0.2500 0.8750
Zn8 Zn 0.6250 0.8750 0.7500
Zn9 Zn 0.7500 0.1250 0.3750
Zn10 Zn 0.7500 0.6250 0.8750
Zn11 Zn 0.8750 0.6250 0.2500
Zn12 Zn 0.8750 0.7500 0.6250

No. 4
# Tb2PrZn PBE-GGA relaxed
# formation enthalpy at 0 K: -0.031 eV/atom
# V: 27.87 Å³/atom
# polymorph energy (0 for the lowest one): 0.1306 eV/atom
# VASP energy: -3.86 eV per atom
data_Tb2PrZn
_cell_length_a 4.8049
_cell_length_b 4.8049
_cell_length_c 4.8280
_cell_angle_alpha 90.00
_cell_angle_beta 90.00
_cell_angle_gamma 90.00
_space_group_name_H-M_alt 'P 1'
_space_group_IT_number 1
loop_
_space_group_symop_operation_xyz
'x,y,z'
loop_
_atom_site_label
_atom_site_type_symbol
_atom_site_fract_x
_atom_site_fract_y
_atom_site_fract_z
Tb1 Tb 0.0000 0.5000 0.0000
Tb2 Tb 0.5000 0.0000 0.0000
Pr1 Pr 0.0000 0.0000 0.5000
Zn1 Zn 0.5000 0.5000 0.5000